Material: K2TeP
Method: DFT, GGA-PBE
State: relaxed

Calculated values
excess energy over the best structure of this formula in the dataset	157.2	meV/atom
Fermi-level density of states	9.1	states/eV per cell
energy relative to the elements, uncorrected	-263	meV per atom

Geometry as POSCAR:
```
K2TeP
1.0
12.263 0.000 0.000
0.000 12.263 0.000
6.132 6.132 2.720
P K Te
2 4 2
direct
0.500 0.500 0.000 P
0.250 0.750 0.500 P
0.384 0.125 0.250 K
0.366 0.625 0.250 K
0.375 0.616 0.750 K
0.875 0.634 0.750 K
0.000 0.000 0.000 Te
0.750 0.250 0.500 Te
```